A.
## Be2CdPt2 (PBE)

Data for a relaxed Be2CdPt2 crystal.

Structure (CIF):
```
data_Be2CdPt2
_chemical_formula_sum 'Be4 Cd2 Pt4'
_cell_length_a 6.912
_cell_length_b 6.912
_cell_length_c 2.780
_cell_angle_alpha 90.00
_cell_angle_beta 90.00
_cell_angle_gamma 90.00
_space_group_name_H-M_alt 'P 4/m b m'
_space_group_IT_number 127
_space_group_name_Hall '-P 4 2ab'
loop_
_atom_site_label
_atom_site_fract_x
_atom_site_fract_y
_atom_site_fract_z
Be1 0.127 0.373 0.000
Cd1 0.000 0.000 0.000
Pt1 0.160 0.660 0.500
```

The theoretical density is 13.0 g/cm3. For the total moment, the calculation gives 0.00 μB per cell.

=====

B.
## Be2CdPt2 (PBE)

Data for a relaxed Be2CdPt2 crystal.

Structure (CIF):
```
data_Be2CdPt2
_chemical_formula_sum 'Be4 Cd2 Pt4'
_cell_length_a 3.502
_cell_length_b 3.502
_cell_length_c 11.844
_cell_angle_alpha 90.00
_cell_angle_beta 90.00
_cell_angle_gamma 90.00
_space_group_name_H-M_alt 'I 4/m m m'
_space_group_IT_number 139
_space_group_name_Hall '-I 4 2'
loop_
_atom_site_label
_atom_site_fract_x
_atom_site_fract_y
_atom_site_fract_z
Be1 0.000 0.500 0.250
Cd1 0.000 0.000 0.000
Pt1 0.000 0.000 0.377
```

The theoretical density is 11.9 g/cm3. For the total moment, the calculation gives 0.00 μB per cell.

=====

Stability summary - winner: A; margin: 0.110 eV/atom.

=====

A.
## BeCdSiPt (PBE)

Data for a relaxed BeCdSiPt crystal.

Structure (CIF):
```
data_BeCdSiPt
_chemical_formula_sum 'Be4 Cd4 Si4 Pt4'
_cell_length_a 6.246
_cell_length_b 6.246
_cell_length_c 6.246
_cell_angle_alpha 90.00
_cell_angle_beta 90.00
_cell_angle_gamma 90.00
_space_group_name_H-M_alt 'F -4 3 m'
_space_group_IT_number 216
_space_group_name_Hall 'F -4 2 3'
loop_
_atom_site_label
_atom_site_fract_x
_atom_site_fract_y
_atom_site_fract_z
Be1 0.000 0.000 0.000
Cd1 0.250 0.250 0.250
Si1 0.250 0.250 0.750
Pt1 0.000 0.000 0.500
```

The theoretical density is 9.4 g/cm3. For the total moment, the calculation gives 0.00 μB per cell.

=====

B.
## BeCdSiPt (PBE)

Data for a relaxed BeCdSiPt crystal.

Structure (CIF):
```
data_BeCdSiPt
_chemical_formula_sum 'Be4 Cd4 Si4 Pt4'
_cell_length_a 6.164
_cell_length_b 6.164
_cell_length_c 6.164
_cell_angle_alpha 90.00
_cell_angle_beta 90.00
_cell_angle_gamma 90.00
_space_group_name_H-M_alt 'F -4 3 m'
_space_group_IT_number 216
_space_group_name_Hall 'F -4 2 3'
loop_
_atom_site_label
_atom_site_fract_x
_atom_site_fract_y
_atom_site_fract_z
Be1 0.000 0.000 0.000
Cd1 0.250 0.250 0.750
Si1 0.000 0.000 0.500
Pt1 0.250 0.250 0.250
```

The theoretical density is 9.8 g/cm3. For the total moment, the calculation gives 0.00 μB per cell.

=====

Stability summary - winner: B; margin: 0.119 eV/atom.

=====

A.
## ZrBeCdPt (PBE)

Data for a relaxed ZrBeCdPt crystal.

Structure (CIF):
```
data_ZrBeCdPt
_chemical_formula_sum 'Zr4 Be4 Cd4 Pt4'
_cell_length_a 6.464
_cell_length_b 6.464
_cell_length_c 6.464
_cell_angle_alpha 90.00
_cell_angle_beta 90.00
_cell_angle_gamma 90.00
_space_group_name_H-M_alt 'F -4 3 m'
_space_group_IT_number 216
_space_group_name_Hall 'F -4 2 3'
loop_
_atom_site_label
_atom_site_fract_x
_atom_site_fract_y
_atom_site_fract_z
Zr1 0.000 0.000 0.000
Be1 0.000 0.000 0.500
Cd1 0.250 0.250 0.250
Pt1 0.250 0.250 0.750
```

The theoretical density is 10.0 g/cm3. For the total moment, the calculation gives 0.01 μB per cell.

=====

B.
## ZrBeCdPt (PBE)

Data for a relaxed ZrBeCdPt crystal.

Structure (CIF):
```
data_ZrBeCdPt
_chemical_formula_sum 'Zr4 Be4 Cd4 Pt4'
_cell_length_a 6.452
_cell_length_b 6.452
_cell_length_c 6.452
_cell_angle_alpha 90.00
_cell_angle_beta 90.00
_cell_angle_gamma 90.00
_space_group_name_H-M_alt 'F -4 3 m'
_space_group_IT_number 216
_space_group_name_Hall 'F -4 2 3'
loop_
_atom_site_label
_atom_site_fract_x
_atom_site_fract_y
_atom_site_fract_z
Zr1 0.000 0.000 0.000
Be1 0.250 0.250 0.250
Cd1 0.000 0.000 0.500
Pt1 0.250 0.250 0.750
```

The theoretical density is 10.1 g/cm3. For the total moment, the calculation gives 0.00 μB per cell.

=====

Stability summary - winner: B; margin: 0.071 eV/atom.

=====

A.
## Be2CdSb (PBE)

Data for a relaxed Be2CdSb crystal.

Structure (CIF):
```
data_Be2CdSb
_chemical_formula_sum 'Be8 Cd4 Sb4'
_cell_length_a 6.636
_cell_length_b 6.636
_cell_length_c 6.636
_cell_angle_alpha 90.00
_cell_angle_beta 90.00
_cell_angle_gamma 90.00
_space_group_name_H-M_alt 'F -4 3 m'
_space_group_IT_number 216
_space_group_name_Hall 'F -4 2 3'
loop_
_atom_site_label
_atom_site_fract_x
_atom_site_fract_y
_atom_site_fract_z
Be1 0.000 0.000 0.000
Be2 0.250 0.250 0.250
Cd1 0.250 0.250 0.750
Sb1 0.000 0.000 0.500
```

The theoretical density is 5.7 g/cm3.

=====

B.
## Be2CdSb (PBE)

Data for a relaxed Be2CdSb crystal.

Structure (CIF):
```
data_Be2CdSb
_chemical_formula_sum 'Be8 Cd4 Sb4'
_cell_length_a 7.763
_cell_length_b 5.999
_cell_length_c 6.946
_cell_angle_alpha 90.00
_cell_angle_beta 116.29
_cell_angle_gamma 90.00
_space_group_name_H-M_alt 'C 1 2 1'
_space_group_IT_number 5
loop_
_space_group_symop_operation_xyz
'x,y,z'
'-x,y,-z'
'x+1/2,y+1/2,z'
'-x+1/2,y+1/2,-z'
loop_
_atom_site_label
_atom_site_fract_x
_atom_site_fract_y
_atom_site_fract_z
Be1 0.037 0.000 0.370
Be2 0.065 0.311 0.889
Cd1 0.192 0.644 0.236
Sb1 0.224 0.636 0.752
```

The theoretical density is 5.8 g/cm3.

=====

Stability summary - winner: B; margin: 0.416 eV/atom.

=====

A.
## YBeCd (PBE)

Data for a relaxed YBeCd crystal.

Structure (CIF):
```
data_YBeCd
_chemical_formula_sum 'Y4 Be4 Cd4'
_cell_length_a 6.704
_cell_length_b 6.704
_cell_length_c 6.704
_cell_angle_alpha 90.00
_cell_angle_beta 90.00
_cell_angle_gamma 90.00
_space_group_name_H-M_alt 'F -4 3 m'
_space_group_IT_number 216
_space_group_name_Hall 'F -4 2 3'
loop_
_atom_site_label
_atom_site_fract_x
_atom_site_fract_y
_atom_site_fract_z
Y1 0.000 0.000 0.000
Be1 0.250 0.250 0.750
Cd1 0.250 0.250 0.250
```

The theoretical density is 4.6 g/cm3. For the total moment, the calculation gives 0.13 μB per cell.

=====

B.
## YBeCd (PBE)

Data for a relaxed YBeCd crystal.

Structure (CIF):
```
data_YBeCd
_chemical_formula_sum 'Y4 Be4 Cd4'
_cell_length_a 6.552
_cell_length_b 6.552
_cell_length_c 6.552
_cell_angle_alpha 90.00
_cell_angle_beta 90.00
_cell_angle_gamma 90.00
_space_group_name_H-M_alt 'F -4 3 m'
_space_group_IT_number 216
_space_group_name_Hall 'F -4 2 3'
loop_
_atom_site_label
_atom_site_fract_x
_atom_site_fract_y
_atom_site_fract_z
Y1 0.000 0.000 0.000
Be1 0.000 0.000 0.500
Cd1 0.250 0.250 0.750
```

The theoretical density is 5.0 g/cm3. For the total moment, the calculation gives 0.18 μB per cell.

=====

Stability summary - winner: B; margin: 0.289 eV/atom.

=====

A.
## CsBeCoMo (PBE)

Data for a relaxed CsBeCoMo crystal.

Structure (CIF):
```
data_CsBeCoMo
_chemical_formula_sum 'Cs4 Be4 Co4 Mo4'
_cell_length_a 6.657
_cell_length_b 6.657
_cell_length_c 6.657
_cell_angle_alpha 90.00
_cell_angle_beta 90.00
_cell_angle_gamma 90.00
_space_group_name_H-M_alt 'F -4 3 m'
_space_group_IT_number 216
_space_group_name_Hall 'F -4 2 3'
loop_
_atom_site_label
_atom_site_fract_x
_atom_site_fract_y
_atom_site_fract_z
Cs1 0.000 0.000 0.000
Be1 0.250 0.250 0.750
Co1 0.250 0.250 0.250
Mo1 0.000 0.000 0.500
```

The theoretical density is 6.7 g/cm3. For the total moment, the calculation gives 14.32 μB per cell.

=====

B.
## CsBeCoMo (PBE)

Data for a relaxed CsBeCoMo crystal.

Structure (CIF):
```
data_CsBeCoMo
_chemical_formula_sum 'Cs4 Be4 Co4 Mo4'
_cell_length_a 6.385
_cell_length_b 6.385
_cell_length_c 6.385
_cell_angle_alpha 90.00
_cell_angle_beta 90.00
_cell_angle_gamma 90.00
_space_group_name_H-M_alt 'F -4 3 m'
_space_group_IT_number 216
_space_group_name_Hall 'F -4 2 3'
loop_
_atom_site_label
_atom_site_fract_x
_atom_site_fract_y
_atom_site_fract_z
Cs1 0.000 0.000 0.000
Be1 0.000 0.000 0.500
Co1 0.250 0.250 0.750
Mo1 0.250 0.250 0.250
```

The theoretical density is 7.6 g/cm3. For the total moment, the calculation gives 0.73 μB per cell.

=====

C.
## CsBeCoMo (PBE)

Data for a relaxed CsBeCoMo crystal.

Structure (CIF):
```
data_CsBeCoMo
_chemical_formula_sum 'Cs4 Be4 Co4 Mo4'
_cell_length_a 6.443
_cell_length_b 6.443
_cell_length_c 6.443
_cell_angle_alpha 90.00
_cell_angle_beta 90.00
_cell_angle_gamma 90.00
_space_group_name_H-M_alt 'F -4 3 m'
_space_group_IT_number 216
_space_group_name_Hall 'F -4 2 3'
loop_
_atom_site_label
_atom_site_fract_x
_atom_site_fract_y
_atom_site_fract_z
Cs1 0.000 0.000 0.000
Be1 0.250 0.250 0.250
Co1 0.000 0.000 0.500
Mo1 0.250 0.250 0.750
```

The theoretical density is 7.4 g/cm3. For the total moment, the calculation gives 0.01 μB per cell.

=====

Stability summary - winner: C; margin: 0.038 eV/atom.

=====

A.
## CsBeCoTe (PBE)

Data for a relaxed CsBeCoTe crystal.

Structure (CIF):
```
data_CsBeCoTe
_chemical_formula_sum 'Cs4 Be4 Co4 Te4'
_cell_length_a 7.569
_cell_length_b 7.569
_cell_length_c 7.569
_cell_angle_alpha 90.00
_cell_angle_beta 90.00
_cell_angle_gamma 90.00
_space_group_name_H-M_alt 'F -4 3 m'
_space_group_IT_number 216
_space_group_name_Hall 'F -4 2 3'
loop_
_atom_site_label
_atom_site_fract_x
_atom_site_fract_y
_atom_site_fract_z
Cs1 0.000 0.000 0.000
Be1 0.000 0.000 0.500
Co1 0.250 0.250 0.250
Te1 0.250 0.250 0.750
```

The theoretical density is 5.0 g/cm3. For the total moment, the calculation gives 8.04 μB per cell.

=====

B.
## CsBeCoTe (PBE)

Data for a relaxed CsBeCoTe crystal.

Structure (CIF):
```
data_CsBeCoTe
_chemical_formula_sum 'Cs4 Be4 Co4 Te4'
_cell_length_a 7.153
_cell_length_b 7.153
_cell_length_c 7.153
_cell_angle_alpha 90.00
_cell_angle_beta 90.00
_cell_angle_gamma 90.00
_space_group_name_H-M_alt 'F -4 3 m'
_space_group_IT_number 216
_space_group_name_Hall 'F -4 2 3'
loop_
_atom_site_label
_atom_site_fract_x
_atom_site_fract_y
_atom_site_fract_z
Cs1 0.000 0.000 0.000
Be1 0.250 0.250 0.250
Co1 0.250 0.250 0.750
Te1 0.000 0.000 0.500
```

The theoretical density is 6.0 g/cm3. For the total moment, the calculation gives 7.10 μB per cell.

=====

Stability summary - winner: B; margin: 0.207 eV/atom.

=====

A.
## BeCoCuW (PBE)

Data for a relaxed BeCoCuW crystal.

Structure (CIF):
```
data_BeCoCuW
_chemical_formula_sum 'Be4 Co4 Cu4 W4'
_cell_length_a 5.698
_cell_length_b 5.698
_cell_length_c 5.698
_cell_angle_alpha 90.00
_cell_angle_beta 90.00
_cell_angle_gamma 90.00
_space_group_name_H-M_alt 'F -4 3 m'
_space_group_IT_number 216
_space_group_name_Hall 'F -4 2 3'
loop_
_atom_site_label
_atom_site_fract_x
_atom_site_fract_y
_atom_site_fract_z
Be1 0.000 0.000 0.000
Co1 0.000 0.000 0.500
Cu1 0.250 0.250 0.750
W1 0.250 0.250 0.250
```

The theoretical density is 11.3 g/cm3. For the total moment, the calculation gives 0.01 μB per cell.

=====

B.
## BeCoCuW (PBE)

Data for a relaxed BeCoCuW crystal.

Structure (CIF):
```
data_BeCoCuW
_chemical_formula_sum 'Be4 Co4 Cu4 W4'
_cell_length_a 5.685
_cell_length_b 5.685
_cell_length_c 5.685
_cell_angle_alpha 90.00
_cell_angle_beta 90.00
_cell_angle_gamma 90.00
_space_group_name_H-M_alt 'F -4 3 m'
_space_group_IT_number 216
_space_group_name_Hall 'F -4 2 3'
loop_
_atom_site_label
_atom_site_fract_x
_atom_site_fract_y
_atom_site_fract_z
Be1 0.000 0.000 0.000
Co1 0.250 0.250 0.750
Cu1 0.000 0.000 0.500
W1 0.250 0.250 0.250
```

The theoretical density is 11.4 g/cm3. For the total moment, the calculation gives 0.54 μB per cell.

=====

C.
## BeCoCuW (PBE)

Data for a relaxed BeCoCuW crystal.

Structure (CIF):
```
data_BeCoCuW
_chemical_formula_sum 'Be4 Co4 Cu4 W4'
_cell_length_a 5.735
_cell_length_b 5.735
_cell_length_c 5.735
_cell_angle_alpha 90.00
_cell_angle_beta 90.00
_cell_angle_gamma 90.00
_space_group_name_H-M_alt 'F -4 3 m'
_space_group_IT_number 216
_space_group_name_Hall 'F -4 2 3'
loop_
_atom_site_label
_atom_site_fract_x
_atom_site_fract_y
_atom_site_fract_z
Be1 0.000 0.000 0.000
Co1 0.250 0.250 0.250
Cu1 0.250 0.250 0.750
W1 0.000 0.000 0.500
```

The theoretical density is 11.1 g/cm3. For the total moment, the calculation gives 0.05 μB per cell.

=====

Stability summary - winner: A; margin: 0.064 eV/atom.